The following is a PBEsol calculation of a relaxed CaTaBe2 crystal, from Alexandria via LeMat-Bulk.

Calculated values
As for the space group: C2/m (12). The energy relative to the lowest polymorph listed for this composition comes out at 0.572 eV per formula unit.

abc: 2.787 4.459 5.984
angles: 97.78 90.00 108.21
Element x y z (fractional)
Be 0.753 0.507 0.844
Be 0.247 0.493 0.156
Ca 0.000 0.000 0.500
Ta 0.500 0.000 0.000


The following is a PBEsol calculation of a relaxed Ca2TaBe crystal, from Alexandria via LeMat-Bulk.

Calculated values
As for the space group: Imm2 (44).

abc: 3.144 5.210 6.239
angles: 114.65 104.59 90.00
Site moments in Bohr magnetons follow the coordinates.
Element x y z (fractional)
Be 0.225 0.726 0.450  -0.01
Ca 0.962 0.962 0.924  0.03
Ca 0.757 0.258 0.515  0.01
Ta 0.555 0.555 0.111  0.29


The following is a PBEsol calculation of a relaxed Ca2BeTc crystal, from Alexandria via LeMat-Bulk.

Calculated values
As for the space group: P4mm (99).

abc: 3.231 3.231 8.107
angles: 90.00 90.00 90.00
Element x y z (fractional)
Be 0.500 0.500 0.662
Ca 0.000 0.000 0.921
Ca 0.500 0.500 0.329
Tc 0.000 0.000 0.587


| no. | energy relative to the elements (meV per atom) | density of states at the Fermi level (states/eV/atom) |
| --- | --- | --- |
| 1 | 600 | 0.79 |
| 2 | 605 | 0.92 |
| 3 | 269 | 1.01 |